[1]
This record from Alexandria via LeMat-Bulk describes ZrBiPS2 after structural relaxation. The functional is PBE.

Structure (POSCAR):
```
ZrBiPS2
1.0
5.077 0.000 0.000
0.000 5.077 0.000
0.000 0.000 5.151
P S Bi Zr
1 2 1 1
direct
0.000 0.000 0.500
0.000 0.500 0.000
0.500 0.000 0.000
0.000 0.000 0.000
0.500 0.500 0.500
```

Summary:
E	-4.51	eV/atom
N(E_F)	0.866	states/eV per atom
uncorrected formation energy	0.705	eV/atom

=====

[2]
This record from Alexandria via LeMat-Bulk describes ZrBiP2S after structural relaxation. The functional is PBE.

Structure (POSCAR):
```
ZrBiP2S
1.0
-0.890 1.896 4.634
-4.775 -1.739 -0.206
1.499 -4.363 2.073
P S Bi Zr
2 1 1 1
direct
0.000 0.500 0.000
0.500 0.000 0.000
0.000 0.000 0.500
0.000 0.000 0.000
0.500 0.500 0.500
```

Summary:
E	-4.53	eV/atom
N(E_F)	0.465	states/eV per atom
uncorrected formation energy	0.948	eV/atom

=====

[3]
This record from Alexandria via LeMat-Bulk describes ZrBiP2S after structural relaxation. The functional is PBE.

Structure (POSCAR):
```
ZrBiP2S
1.0
5.115 0.000 0.000
0.000 5.115 0.000
0.000 0.000 4.845
P S Bi Zr
2 1 1 1
direct
0.000 0.500 0.000
0.500 0.000 0.000
0.000 0.000 0.500
0.500 0.500 0.500
0.000 0.000 0.000
```

Summary:
E	-5.41	eV/atom
N(E_F)	0.725	states/eV per atom
uncorrected formation energy	0.067	eV/atom

=====

[4]
This record from Alexandria via LeMat-Bulk describes ZrBiPS2 after structural relaxation. The functional is PBE.

Structure (POSCAR):
```
ZrBiPS2
1.0
-2.604 -3.945 1.266
4.023 -2.051 1.886
-1.065 2.199 4.663
P S Bi Zr
1 2 1 1
direct
0.000 0.000 0.500
0.000 0.500 0.000
0.500 0.000 0.000
0.500 0.500 0.500
0.000 0.000 0.000
```

Summary:
E	-5.46	eV/atom
N(E_F)	0.661	states/eV per atom
uncorrected formation energy	-0.245	eV/atom